A relaxed structure of Mn2Cl2O. Source: Alexandria via LeMat-Bulk, functional GGA+U.

Output
* total DFT energy (no corrections): -48.2 eV/cell
* SG: No. 127

a = 7.322 Å, b = 7.322 Å, c = 3.271 Å
α = 90.00°, β = 90.00°, γ = 90.00°
Positions (direct):
1 Mn 0.187 0.313 0.000
2 Mn 0.313 0.813 0.000
3 Mn 0.687 0.187 0.000
4 Mn 0.813 0.687 0.000
5 Cl 0.134 0.634 0.500
6 Cl 0.366 0.134 0.500
7 Cl 0.634 0.866 0.500
8 Cl 0.866 0.366 0.500
9 O 0.000 0.000 0.500
10 O 0.500 0.500 0.500